No. 1
A plane-wave DFT calculation with PBE was carried out for a relaxed structure of Th2ScIn3.

```
6
Lattice="2.8247 -8.3235 0.0000 2.8247 8.3235 0.0000 0.0000 0.0000 3.4711" Properties=species:S:1:pos:R:3 pbc="T T T"
Th 2.8247 5.4198 0.0000
Th 2.8247 -5.4198 0.0000
Sc 2.8247 0.0000 0.0000
In 0.0000 0.0000 1.7355
In 2.8247 2.5211 1.7355
In 2.8247 -2.5211 1.7355
```

Calculated values
Space-group type ... Cmmm (65)
Total energy ... -5.152 eV per atom
ΔE_f ... -255 meV/atom
Crystal system ... orthorhombic
Total magnetic moment ... 0.00 μB per formula unit
Excess energy over the best structure of this formula in the dataset ... 0 meV/atom
Theoretical density ... 8.68 g/cm3



No. 2
A plane-wave DFT calculation with PBE was carried out for a relaxed structure of Th4ScIn5.

```
10
Lattice="3.5129 0.0000 0.0000 0.0000 3.5129 0.0000 0.0000 0.0000 22.2240" Properties=species:S:1:pos:R:3 pbc="T T T"
Th 0.0000 0.0000 2.3274
Th 0.0000 0.0000 6.9633
Th 0.0000 0.0000 15.2607
Th 0.0000 0.0000 19.8967
Sc 0.0000 0.0000 11.1120
In 1.7565 1.7565 0.0000
In 1.7565 1.7565 4.6378
In 1.7565 1.7565 9.2465
In 1.7565 1.7565 12.9775
In 1.7565 1.7565 17.5863
```

Calculated values
Space-group type ... P4/mmm (123)
Total energy ... -5.281 eV per atom
ΔE_f ... -311 meV/atom
Crystal system ... tetragonal
Total magnetic moment ... 0.00 μB per formula unit
Theoretical density ... 9.37 g/cm3



No. 3
A plane-wave DFT calculation with PBE was carried out for a relaxed structure of Th2ScIn3.

```
12
Lattice="4.8959 -5.5193 0.0000 4.8959 5.5193 0.0000 0.0000 0.0000 6.2243" Properties=species:S:1:pos:R:3 pbc="T T T"
Th 3.2902 2.9388 4.6682
Th 6.5015 2.9388 4.6682
Th 3.2902 -2.9388 1.5561
Th 6.5015 -2.9388 1.5561
Sc 4.8959 1.8375 1.5561
Sc 4.8959 -1.8375 4.6682
In 4.8959 4.8534 1.5561
In 3.0668 0.0000 0.0000
In 3.0668 0.0000 3.1122
In 6.7249 0.0000 0.0000
In 6.7249 0.0000 3.1122
In 4.8959 -4.8534 4.6682
```

Calculated values
Space-group type ... Cmcm (63)
Total energy ... -5.019 eV per atom
ΔE_f ... -121 meV/atom
Crystal system ... orthorhombic
Total magnetic moment ... 0.00 μB per formula unit
Excess energy over the best structure of this formula in the dataset ... 133 meV/atom
Theoretical density ... 8.43 g/cm3



No. 4
A plane-wave DFT calculation with PBE was carried out for a relaxed structure of ThScIn2.

```
4
Lattice="3.4777 0.0000 0.0000 0.0000 3.4777 0.0000 0.0000 0.0000 8.4732" Properties=species:S:1:pos:R:3 pbc="T T T"
Th 0.0000 0.0000 0.0000
Sc 0.0000 0.0000 4.2366
In 1.7388 1.7388 2.3215
In 1.7388 1.7388 6.1517
```

Calculated values
Space-group type ... P4/mmm (123)
Total energy ... -5.159 eV per atom
ΔE_f ... -352 meV/atom
Crystal system ... tetragonal
Total magnetic moment ... 0.00 μB per formula unit
Theoretical density ... 8.21 g/cm3



No. 5
A plane-wave DFT calculation with PBE was carried out for a relaxed structure of ThSc2In3.

```
6
Lattice="3.4187 0.0000 0.0000 0.0000 3.4187 0.0000 0.0000 0.0000 12.6067" Properties=species:S:1:pos:R:3 pbc="T T T"
Th 0.0000 0.0000 0.0000
Sc 0.0000 0.0000 4.3332
Sc 0.0000 0.0000 8.2735
In 1.7094 1.7094 2.3689
In 1.7094 1.7094 6.3033
In 1.7094 1.7094 10.2377
```

Calculated values
Space-group type ... P4/mmm (123)
Total energy ... -5.086 eV per atom
ΔE_f ... -369 meV/atom
Crystal system ... tetragonal
Total magnetic moment ... 0.06 μB per formula unit
Theoretical density ... 7.51 g/cm3



No. 6
A plane-wave DFT calculation with PBE was carried out for a relaxed structure of Th6ScIn10.

```
17
Lattice="9.3623 0.0000 0.0000 -4.6811 8.1080 0.0000 0.0000 0.0000 6.4238" Properties=species:S:1:pos:R:3 pbc="T T T"
Th -1.8263 3.1632 1.7700
Th -2.8548 4.9447 4.6538
Th 3.6526 0.0000 1.7700
Th 1.8263 3.1632 4.6538
Th 5.7097 0.0000 4.6538
Th 2.8548 4.9447 1.7700
Sc 0.0000 0.0000 3.2119
In -1.1707 2.0278 5.1796
In -3.5104 6.0802 1.2441
In 2.3415 0.0000 5.1796
In 1.1707 2.0278 1.2441
In 0.0000 5.4053 0.0000
In 0.0000 5.4053 3.2119
In 4.6811 2.7027 0.0000
In 4.6811 2.7027 3.2119
In 7.0208 0.0000 1.2441
In 3.5104 6.0802 5.1796
```

Calculated values
Space-group type ... P-31m (162)
Total energy ... -4.798 eV per atom
ΔE_f ... -196 meV/atom
Crystal system ... trigonal
Total magnetic moment ... 0.00 μB per formula unit
Theoretical density ... 8.80 g/cm3



No. 7
A plane-wave DFT calculation with PBE was carried out for a relaxed structure of Th2Sc6In.

```
18
Lattice="6.1430 -5.5013 0.0000 6.1430 5.5013 0.0000 -4.4568 0.0000 6.9315" Properties=species:S:1:pos:R:3 pbc="T T T"
Th 0.3438 0.9791 2.8565
Th -1.8846 -0.9791 6.3223
Th 9.7138 0.9791 0.6092
Th 7.4854 -0.9791 4.0750
Sc -0.4308 1.8681 5.9518
Sc 5.5986 3.9847 0.3565
Sc 4.4590 3.9847 3.1092
Sc 3.5235 0.9668 2.1549
Sc 1.7976 -1.8681 2.4860
Sc 1.2951 -0.9668 5.6207
Sc 6.5341 0.9668 1.3108
Sc 6.0316 1.8681 4.4455
Sc 4.3057 -0.9668 4.7766
Sc 3.3702 -3.9847 3.8223
Sc 2.2306 -3.9847 6.5749
Sc 8.2600 -1.8681 0.9797
In 2.8004 1.7468 5.1986
In 5.0288 -1.7468 1.7329
```

Calculated values
Space-group type ... C2/c (15)
Total energy ... -6.162 eV per atom
ΔE_f ... 12 meV/atom
Crystal system ... monoclinic
Total magnetic moment ... 0.00 μB per formula unit
Excess energy over the best structure of this formula in the dataset ... 43 meV/atom
Theoretical density ... 6.02 g/cm3



No. 8
A plane-wave DFT calculation with PBE was carried out for a relaxed structure of ThSc2In2.

```
5
Lattice="5.1409 0.0000 0.0000 -2.5705 4.4522 0.0000 0.0000 0.0000 6.2372" Properties=species:S:1:pos:R:3 pbc="T T T"
Th 0.0000 0.0000 0.0000
Sc 0.0000 2.9681 4.1634
Sc 2.5705 1.4841 2.0738
In 0.0000 2.9681 1.2611
In 2.5705 1.4841 4.9761
```

Calculated values
Space-group type ... P-3m1 (164)
Total energy ... -5.181 eV per atom
ΔE_f ... -69 meV/atom
Crystal system ... trigonal
Total magnetic moment ... 0.00 μB per formula unit
Theoretical density ... 6.42 g/cm3